The following is a DFT calculation (GGA+U) of an optimized crystal structure of Sm2CrFeO6.

Summary:
DFT total energy: -154.06 eV per cell
spin magnetization: 3.970 μB/f.u.

Lattice parameters (Å, degrees): 5.363 5.605 9.343 90.00 124.75 90.00
Fractional positions:
Sm1 0.233 0.062 0.250
Sm2 0.233 0.438 0.750
Sm3 0.767 0.562 0.250
Sm4 0.767 0.938 0.750
Cr1 0.500 0.000 0.000
Cr2 0.500 0.500 0.500
Fe1 0.000 0.000 0.500
Fe2 0.000 0.500 0.000
O1 0.149 0.203 0.950
O2 0.149 0.297 0.450
O3 0.249 0.701 0.952
O4 0.249 0.799 0.452
O5 0.340 0.027 0.747
O6 0.340 0.473 0.247
O7 0.660 0.527 0.753
O8 0.660 0.973 0.253
O9 0.751 0.201 0.548
O10 0.751 0.299 0.048
O11 0.851 0.703 0.550
O12 0.851 0.797 0.050